Run A
A relaxed structure of TlPd2Cl2. Source: Alexandria, functional PBE. Values from VASP.

- ρ (Mg/m³) = 5.43

```
&SYSTEM
  ibrav = 0, nat = 5, ntyp = 3
/
ATOMIC_SPECIES
Tl 204.38 Tl.upf
Cl 35.45 Cl.upf
Pd 106.42 Pd.upf
CELL_PARAMETERS angstrom
5.125 0.000 0.000
0.000 5.125 0.000
2.562 2.562 5.680
ATOMIC_POSITIONS crystal
Tl 0.000 0.000 0.000
Cl 0.750 0.250 0.500
Pd 0.759 0.759 0.481
Cl 0.250 0.750 0.500
Pd 0.241 0.241 0.519
```

---

Run B
A relaxed structure of TlPd2Cl2. Source: Alexandria, functional PBE. Values from VASP.

- ρ (Mg/m³) = 6.70

```
&SYSTEM
  ibrav = 0, nat = 10, ntyp = 3
/
ATOMIC_SPECIES
Cl 35.45 Cl.upf
Pd 106.42 Pd.upf
Tl 204.38 Tl.upf
CELL_PARAMETERS angstrom
7.225 0.000 0.000
0.000 7.225 0.000
0.000 0.000 4.635
ATOMIC_POSITIONS crystal
Cl 0.320 0.820 0.500
Pd 0.865 0.635 0.000
Pd 0.135 0.365 0.000
Cl 0.680 0.180 0.500
Tl 0.000 0.000 0.000
Pd 0.365 0.865 0.000
Cl 0.180 0.320 0.500
Cl 0.820 0.680 0.500
Pd 0.635 0.135 0.000
Tl 0.500 0.500 0.000
```

---

Least stable of them? run A.

---

Run A
A relaxed structure of Tm2PdCl. Source: Alexandria, functional PBE. Values from VASP.

- ρ (Mg/m³) = 7.86

```
&SYSTEM
  ibrav = 0, nat = 4, ntyp = 3
/
ATOMIC_SPECIES
Pd 106.42 Pd.upf
Tm 168.93 Tm.upf
Cl 35.45 Cl.upf
CELL_PARAMETERS angstrom
-1.277 0.648 3.654
-3.818 0.622 0.663
-2.748 -7.045 2.396
ATOMIC_POSITIONS crystal
Pd 0.668 0.668 0.995
Tm 0.071 0.071 0.788
Cl 0.494 0.494 0.519
Tm 0.268 0.268 0.197
```

---

Run B
A relaxed structure of Tm2PdCl. Source: Alexandria, functional PBE. Values from VASP.

- ρ (Mg/m³) = 6.55

```
&SYSTEM
  ibrav = 0, nat = 4, ntyp = 3
/
ATOMIC_SPECIES
Tm 168.93 Tm.upf
Pd 106.42 Pd.upf
Cl 35.45 Cl.upf
CELL_PARAMETERS angstrom
-2.875 -3.049 0.143
-0.273 -2.773 -3.134
4.172 -6.690 2.750
ATOMIC_POSITIONS crystal
Tm 0.890 0.890 0.329
Pd 0.500 0.500 0.500
Tm 0.110 0.110 0.671
Cl 0.000 0.000 0.000
```

---

Least stable of them? run A.

---

Run A
A relaxed structure of VPd2Cl. Source: Alexandria, functional PBE. Values from VASP.

- ρ (Mg/m³) = 7.59

```
&SYSTEM
  ibrav = 0, nat = 4, ntyp = 3
/
ATOMIC_SPECIES
Pd 106.42 Pd.upf
Cl 35.45 Cl.upf
V 50.94 V.upf
CELL_PARAMETERS angstrom
-4.101 -1.906 -0.082
-3.289 1.597 2.662
-3.494 2.229 -1.812
ATOMIC_POSITIONS crystal
Pd 0.250 0.250 0.250
Cl 0.000 0.000 0.000
Pd 0.750 0.750 0.750
V 0.500 0.500 0.500
```

---

Run B
A relaxed structure of VPd2Cl. Source: Alexandria, functional PBE. Values from VASP.

- ρ (Mg/m³) = 6.14

```
&SYSTEM
  ibrav = 0, nat = 8, ntyp = 3
/
ATOMIC_SPECIES
V 50.94 V.upf
Cl 35.45 Cl.upf
Pd 106.42 Pd.upf
CELL_PARAMETERS angstrom
-4.032 -4.193 -2.583
-1.987 -1.669 5.812
-5.837 -0.115 1.457
ATOMIC_POSITIONS crystal
V 0.750 0.250 0.500
Cl 0.250 0.750 0.500
Pd 0.103 0.625 0.250
Pd 0.875 0.897 0.750
Cl 0.500 0.500 0.000
Pd 0.647 0.125 0.250
Pd 0.375 0.353 0.750
V 0.000 0.000 0.000
```

---

Least stable of them? run B.

---

Run A
A relaxed structure of PdWCl3. Source: Alexandria, functional PBE. Values from VASP.

- ρ (Mg/m³) = 5.72

```
&SYSTEM
  ibrav = 0, nat = 5, ntyp = 3
/
ATOMIC_SPECIES
Pd 106.42 Pd.upf
Cl 35.45 Cl.upf
W 183.84 W.upf
CELL_PARAMETERS angstrom
-1.776 -4.092 -1.940
2.547 0.821 -4.062
3.744 -2.499 1.843
ATOMIC_POSITIONS crystal
Pd 0.000 0.000 0.000
Cl 0.000 0.000 0.500
Cl 0.500 0.000 0.000
W 0.500 0.500 0.500
Cl 0.000 0.500 0.000
```

---

Run B
A relaxed structure of PdWCl3. Source: Alexandria, functional PBE. Values from VASP.

- ρ (Mg/m³) = 6.02

```
&SYSTEM
  ibrav = 0, nat = 5, ntyp = 3
/
ATOMIC_SPECIES
W 183.84 W.upf
Cl 35.45 Cl.upf
Pd 106.42 Pd.upf
CELL_PARAMETERS angstrom
-4.590 1.262 -0.451
-1.322 -4.529 0.782
-0.221 0.876 4.696
ATOMIC_POSITIONS crystal
W 0.000 0.000 0.000
Cl 0.000 0.000 0.500
Cl 0.500 0.000 0.000
Pd 0.500 0.500 0.500
Cl 0.000 0.500 0.000
```

---

Least stable of them? run A.

---

Run A
A relaxed structure of Pd2WCl. Source: Alexandria, functional PBE. Values from VASP.

- ρ (Mg/m³) = 8.61

```
&SYSTEM
  ibrav = 0, nat = 8, ntyp = 3
/
ATOMIC_SPECIES
Pd 106.42 Pd.upf
Cl 35.45 Cl.upf
W 183.84 W.upf
CELL_PARAMETERS angstrom
-2.052 -2.577 -5.603
6.129 -1.511 -1.549
1.621 -5.549 -1.811
ATOMIC_POSITIONS crystal
Pd 0.375 0.365 0.750
Pd 0.875 0.885 0.750
Cl 0.500 0.500 0.000
Cl 0.250 0.750 0.500
W 0.000 0.000 0.000
Pd 0.115 0.625 0.250
Pd 0.635 0.125 0.250
W 0.750 0.250 0.500
```

---

Run B
A relaxed structure of Pd2WCl. Source: Alexandria, functional PBE. Values from VASP.

- ρ (Mg/m³) = 10.86

```
&SYSTEM
  ibrav = 0, nat = 4, ntyp = 3
/
ATOMIC_SPECIES
Pd 106.42 Pd.upf
Cl 35.45 Cl.upf
W 183.84 W.upf
CELL_PARAMETERS angstrom
-2.278 2.075 3.331
-1.915 4.047 -0.740
-4.517 0.365 -0.226
ATOMIC_POSITIONS crystal
Pd 0.750 0.750 0.750
Cl 0.000 0.000 0.000
W 0.500 0.500 0.500
Pd 0.250 0.250 0.250
```

---

Least stable of them? run B.

---

Run A
A relaxed structure of YPd3Cl. Source: Alexandria, functional PBE. Values from VASP.

- ρ (Mg/m³) = 7.20

```
&SYSTEM
  ibrav = 0, nat = 5, ntyp = 3
/
ATOMIC_SPECIES
Pd 106.42 Pd.upf
Y 88.91 Y.upf
Cl 35.45 Cl.upf
CELL_PARAMETERS angstrom
-3.143 -1.230 3.238
3.419 -0.401 3.166
-0.555 4.495 1.169
ATOMIC_POSITIONS crystal
Pd 0.000 0.500 0.000
Y 0.500 0.500 0.500
Cl 0.000 0.000 0.000
Pd 0.000 0.000 0.500
Pd 0.500 0.000 0.000
```

---

Run B
A relaxed structure of YPd3Cl. Source: Alexandria, functional PBE. Values from VASP.

- ρ (Mg/m³) = 5.43

```
&SYSTEM
  ibrav = 0, nat = 5, ntyp = 3
/
ATOMIC_SPECIES
Y 88.91 Y.upf
Pd 106.42 Pd.upf
Cl 35.45 Cl.upf
CELL_PARAMETERS angstrom
-4.905 0.482 1.456
0.557 -3.986 3.196
1.429 3.208 3.752
ATOMIC_POSITIONS crystal
Y 0.000 0.000 0.000
Pd 0.000 0.000 0.500
Pd 0.500 0.000 0.000
Cl 0.500 0.500 0.500
Pd 0.000 0.500 0.000
```

---

Least stable of them? run B.